First-principles (PBE) data for a relaxed structure of Zr2SiPt, as listed in Alexandria.

## Properties
energy relative to the elements, uncorrected	-0.62	eV/atom
energy	-7.76	eV per atom
space group	C2/m (12)
V	82.0	Å³/cell

```
Zr2SiPt
1.0
3.6778 -0.7728 0.3641
2.5052 2.8014 0.3641
1.3269 0.4354 6.8540
Pt Zr Si
1 2 1
Cartesian
5.6324 1.8479 5.6867
6.1732 2.0253 0.7833
3.7647 1.2352 3.7361
1.8775 0.6160 1.8956
```